Record 1
Crystalline YAg2Os at its relaxed geometry, computed with GGA-PBE.

a b c (Å): 6.763 6.763 6.763
angles (deg): 90.00 90.00 90.00
Fractional coordinates of all 16 atoms:
Y1 0.000 0.000 0.000
Y2 0.000 0.500 0.500
Y3 0.500 0.000 0.500
Y4 0.500 0.500 0.000
Ag1 0.000 0.000 0.500
Ag2 0.000 0.500 0.000
Ag3 0.250 0.250 0.750
Ag4 0.250 0.750 0.250
Ag5 0.500 0.000 0.000
Ag6 0.500 0.500 0.500
Ag7 0.750 0.250 0.250
Ag8 0.750 0.750 0.750
Os1 0.250 0.250 0.250
Os2 0.250 0.750 0.750
Os3 0.750 0.250 0.750
Os4 0.750 0.750 0.250

Summary:
The value obtained for the offset from the most stable computed form is 0.1623 eV/atom. The value obtained for the formation energy from the elements is 0.3290 eV/atom. Its space group is No. 216. The density of states at the Fermi level is 6.38 states/eV/f.u.

---

Record 2
Crystalline Cs2TaIBr6 at its relaxed geometry, computed with GGA-PBE.

a b c (Å): 20.701 20.701 20.701
angles (deg): 20.20 20.20 20.20
Fractional coordinates of all 20 atoms:
Cs1 0.117 0.117 0.117
Cs2 0.284 0.284 0.284
Cs3 0.716 0.716 0.716
Cs4 0.883 0.883 0.883
Ta1 0.000 0.000 0.000
Ta2 0.500 0.500 0.500
I1 0.416 0.416 0.416
I2 0.584 0.584 0.584
Br1 0.148 0.639 0.639
Br2 0.188 0.188 0.697
Br3 0.188 0.697 0.188
Br4 0.303 0.812 0.812
Br5 0.361 0.361 0.852
Br6 0.361 0.852 0.361
Br7 0.639 0.148 0.639
Br8 0.639 0.639 0.148
Br9 0.697 0.188 0.188
Br10 0.812 0.303 0.812
Br11 0.812 0.812 0.303
Br12 0.852 0.361 0.361

Summary:
The value obtained for the offset from the most stable computed form is 0.0000 eV/atom. Its space group is No. 166.

---

Record 3
Crystalline Th4Bi2PPb at its relaxed geometry, computed with GGA-PBE.

a b c (Å): 7.762 4.422 7.856
angles (deg): 90.00 108.78 90.00
Fractional coordinates of all 8 atoms:
Th1 0.220 0.000 0.217
Th2 0.236 0.500 0.771
Th3 0.764 0.500 0.229
Th4 0.780 0.000 0.783
Bi1 0.000 0.000 0.500
Bi2 0.500 0.500 0.500
P1 0.000 0.500 0.000
Pb1 0.500 0.000 0.000

Summary:
The value obtained for the formation energy from the elements is -0.7110 eV/atom. Its space group is No. 10. The density of states at the Fermi level is 5.21 states/eV/f.u.

---

Record 4
Crystalline AcNd8Dy5 at its relaxed geometry, computed with GGA-PBE.

a b c (Å): 8.051 8.051 9.027
angles (deg): 108.89 108.89 101.93
Fractional coordinates of all 14 atoms:
Ac1 0.000 0.000 0.000
Nd1 0.226 0.002 0.420
Nd2 0.302 0.276 0.872
Nd3 0.470 0.281 0.290
Nd4 0.650 0.134 0.776
Nd5 0.719 0.530 0.710
Nd6 0.724 0.698 0.128
Nd7 0.866 0.350 0.224
Nd8 0.998 0.774 0.580
Dy1 0.107 0.578 0.036
Dy2 0.269 0.485 0.587
Dy3 0.422 0.893 0.964
Dy4 0.515 0.731 0.413
Dy5 0.856 0.144 0.500

Summary:
The value obtained for the formation energy from the elements is 0.2014 eV/atom. Its space group is No. 5. The density of states at the Fermi level is 23.46 states/eV/f.u.

---

Record 5
Crystalline Pm2Y3Th2 at its relaxed geometry, computed with GGA-PBE.

a b c (Å): 17.664 3.463 8.692
angles (deg): 90.00 119.28 90.00
Fractional coordinates of all 14 atoms:
Pm1 0.062 0.000 0.214
Pm2 0.438 0.500 0.786
Pm3 0.562 0.500 0.214
Pm4 0.938 0.000 0.786
Y1 0.000 0.500 0.500
Y2 0.216 0.500 0.634
Y3 0.284 0.000 0.366
Y4 0.500 0.000 0.500
Y5 0.716 0.000 0.634
Y6 0.784 0.500 0.366
Th1 0.154 0.500 0.956
Th2 0.346 0.000 0.044
Th3 0.654 0.000 0.956
Th4 0.846 0.500 0.044

Summary:
The value obtained for the offset from the most stable computed form is 0.0435 eV/atom. The value obtained for the formation energy from the elements is 0.1459 eV/atom. Its space group is No. 12. The density of states at the Fermi level is 10.46 states/eV/f.u.

---

Record 6
Crystalline La3Dy2Ho6Er at its relaxed geometry, computed with GGA-PBE.

a b c (Å): 6.211 6.211 11.831
angles (deg): 95.02 95.02 120.01
Fractional coordinates of all 12 atoms:
La1 0.000 0.000 0.000
La2 0.333 0.667 0.000
La3 0.667 0.333 0.000
Dy1 0.167 0.833 0.500
Dy2 0.833 0.167 0.500
Ho1 0.086 0.419 0.256
Ho2 0.248 0.248 0.744
Ho3 0.419 0.086 0.256
Ho4 0.581 0.914 0.744
Ho5 0.752 0.752 0.256
Ho6 0.914 0.581 0.744
Er1 0.500 0.500 0.500

Summary:
The value obtained for the formation energy from the elements is 0.0236 eV/atom. Its space group is No. 12. The density of states at the Fermi level is 16.53 states/eV/f.u.

---

Looking at spin magnetization for the records above, in order, we have 0.05; 0.00; 0.00; 0.00; 0.00; 0.00 μB/atom.